one:
Compound: Cs3ScO3
Source: the Alexandria database
Functional: PBE
Structure: relaxed

Computed properties:
SG: No. 12

Lattice parameters (Å, degrees): 7.558 7.421 7.421 116.37 96.77 96.77
Positions (direct):
Cs 0.655 0.362 0.362
Cs 0.345 0.638 0.638
Cs 0.000 0.262 0.738
Cs 0.500 0.210 0.790
Cs 0.000 0.738 0.262
Cs 0.500 0.790 0.210
Sc 0.151 0.161 0.161
Sc 0.849 0.839 0.839
O 0.733 0.849 0.591
O 0.267 0.409 0.151
O 0.872 0.105 0.105
O 0.733 0.591 0.849
O 0.128 0.895 0.895
O 0.267 0.151 0.409

two:
Compound: Cs3ScO3
Source: the Alexandria database
Functional: PBE
Structure: relaxed

Computed properties:
SG: No. 14

Lattice parameters (Å, degrees): 7.494 8.140 11.956 96.37 90.00 90.00
Positions (direct):
Cs 0.626 0.948 0.344
Cs 0.374 0.052 0.656
Cs 0.176 0.622 0.692
Cs 0.824 0.378 0.308
Cs 0.126 0.052 0.156
Cs 0.660 0.656 0.576
Cs 0.676 0.378 0.808
Cs 0.874 0.948 0.844
Cs 0.324 0.622 0.192
Cs 0.160 0.344 0.924
Cs 0.840 0.656 0.076
Cs 0.340 0.344 0.424
O 0.457 0.283 0.190
O 0.827 0.235 0.045
O 0.673 0.235 0.545
O 0.943 0.898 0.581
O 0.443 0.102 0.919
O 0.557 0.898 0.081
O 0.173 0.765 0.955
O 0.057 0.102 0.419
O 0.957 0.717 0.310
O 0.327 0.765 0.455
O 0.043 0.283 0.690
O 0.543 0.717 0.810
Sc 0.417 0.851 0.933
Sc 0.583 0.149 0.067
Sc 0.917 0.149 0.567
Sc 0.083 0.851 0.433

two is preferred energetically. Next in line: 0.5 kJ/mol of atoms higher.

one:
Compound: Cs2ScO
Source: the Alexandria database
Functional: PBE
Structure: relaxed

Computed properties:
SG: No. 225

Lattice parameters (Å, degrees): 5.827 5.827 5.827 60.00 60.00 60.00
Site moments in Bohr magnetons follow the coordinates.
Positions (direct):
Sc 0.500 0.500 0.500  0.84
Cs 0.250 0.250 0.250  0.02
Cs 0.750 0.750 0.750  0.02
O 0.000 0.000 0.000  -0.15

two:
Compound: Cs2ScO
Source: the Alexandria database
Functional: PBE
Structure: relaxed

Computed properties:
SG: No. 122

Lattice parameters (Å, degrees): 10.199 10.199 10.199 92.21 92.21 157.34
Site moments in Bohr magnetons follow the coordinates.
Positions (direct):
Cs 0.625 0.444 0.319  0.02
Cs 0.556 0.875 0.181  0.02
Cs 0.694 0.375 0.819  0.02
Cs 0.125 0.306 0.681  0.02
Sc 0.250 0.750 0.500  0.17
Sc 0.000 0.000 0.000  0.17
O 0.500 0.500 0.000  0.00
O 0.750 0.250 0.500  0.00

two is preferred energetically. Next in line: 150.3 kJ/mol of atoms higher.

one:
Compound: CsSe2O
Source: the Alexandria database
Functional: PBE
Structure: relaxed

Computed properties:
SG: No. 166

Lattice parameters (Å, degrees): 6.712 6.712 6.712 38.39 38.39 38.39
Positions (direct):
Cs 0.000 0.000 0.000
Se 0.817 0.817 0.817
Se 0.183 0.183 0.183
O 0.500 0.500 0.500

two:
Compound: CsSe2O
Source: the Alexandria database
Functional: PBE
Structure: relaxed

Computed properties:
SG: No. 141

Lattice parameters (Å, degrees): 5.950 5.950 7.559 66.82 66.82 90.00
Positions (direct):
Se 0.375 0.125 0.250
Se 0.375 0.625 0.750
Se 0.875 0.625 0.750
Se 0.375 0.625 0.250
O 0.250 0.750 0.500
O 0.500 0.500 0.000
Cs 0.750 0.250 0.500
Cs 0.000 0.000 0.000

three:
Compound: CsSe2O
Source: the Alexandria database
Functional: PBE
Structure: relaxed

Computed properties:
SG: No. 166

Lattice parameters (Å, degrees): 6.692 6.692 6.692 54.43 54.43 54.43
Positions (direct):
Se 0.894 0.894 0.894
Se 0.106 0.106 0.106
Cs 0.500 0.500 0.500
O 0.000 0.000 0.000

two is preferred energetically. Next in line: 26.3 kJ/mol of atoms higher.

one:
Compound: CsSe3O
Source: the Alexandria database
Functional: PBE
Structure: relaxed

Computed properties:
SG: No. 221

Lattice parameters (Å, degrees): 4.890 4.890 4.890 90.00 90.00 90.00
Positions (direct):
Se 0.000 0.500 0.000
Se 0.000 0.000 0.500
Se 0.500 0.000 0.000
O 0.000 0.000 0.000
Cs 0.500 0.500 0.500

two:
Compound: CsSe3O
Source: the Alexandria database
Functional: PBE
Structure: relaxed

Computed properties:
SG: No. 221

Lattice parameters (Å, degrees): 6.178 6.178 6.178 90.00 90.00 90.00
Site moments in Bohr magnetons follow the coordinates.
Positions (direct):
O 0.500 0.500 0.500  -0.06
Se 0.500 0.000 0.000  0.76
Se 0.000 0.000 0.500  1.29
Se 0.000 0.500 0.000  1.04
Cs 0.000 0.000 0.000  0.20

one is preferred energetically. Next in line: 149.2 kJ/mol of atoms higher.

one:
Compound: Cs2Se2O5
Source: the Alexandria database
Functional: PBE
Structure: relaxed

Computed properties:
SG: No. 1

Lattice parameters (Å, degrees): 4.567 7.901 6.917 110.98 89.34 97.87
Positions (direct):
Se 0.992 0.165 0.171
Se 0.000 0.775 0.775
O 0.199 0.985 0.980
O 0.774 0.682 0.918
O 0.157 0.180 0.394
O 0.138 0.346 0.109
O 0.794 0.859 0.639
Cs 0.342 0.750 0.267
Cs 0.603 0.257 0.748

two:
Compound: Cs2Se2O5
Source: the Alexandria database
Functional: PBE
Structure: relaxed

Computed properties:
SG: No. 12

Lattice parameters (Å, degrees): 4.196 6.755 7.147 109.02 90.00 108.09
Positions (direct):
Se 0.852 0.703 0.041
Se 0.148 0.297 0.959
O 0.900 0.800 0.291
O 0.000 0.000 0.000
O 0.100 0.200 0.709
O 0.676 0.351 0.006
O 0.324 0.649 0.994
Cs 0.410 0.819 0.650
Cs 0.590 0.181 0.350

one is preferred energetically. Next in line: 24.1 kJ/mol of atoms higher.

one:
Compound: Cs4SiO4
Source: the Alexandria database
Functional: PBE
Structure: relaxed

Computed properties:
SG: No. 14

Lattice parameters (Å, degrees): 19.022 7.086 7.160 68.83 90.00 90.00
Positions (direct):
Cs 0.800 0.367 0.146
Cs 0.429 0.658 0.828
Cs 0.197 0.131 0.329
Cs 0.700 0.367 0.646
Cs 0.506 0.199 0.704
Cs 0.929 0.342 0.672
Cs 0.571 0.342 0.172
Cs 0.006 0.801 0.796
Cs 0.803 0.869 0.671
Cs 0.994 0.199 0.204
Cs 0.200 0.633 0.854
Cs 0.300 0.633 0.354
Cs 0.697 0.869 0.171
Cs 0.071 0.658 0.328
Cs 0.494 0.801 0.296
Cs 0.303 0.131 0.829
O 0.067 0.205 0.567
O 0.854 0.968 0.092
O 0.423 0.397 0.333
O 0.810 0.618 0.393
O 0.190 0.382 0.607
O 0.646 0.968 0.592
O 0.933 0.795 0.433
O 0.690 0.618 0.893
O 0.077 0.397 0.833
O 0.577 0.603 0.667
O 0.146 0.032 0.908
O 0.310 0.382 0.107
O 0.923 0.603 0.167
O 0.433 0.205 0.067
O 0.567 0.795 0.933
O 0.354 0.032 0.408
Si 0.880 0.751 0.267
Si 0.120 0.249 0.733
Si 0.380 0.249 0.233
Si 0.620 0.751 0.767

two:
Compound: Cs4SiO4
Source: the Alexandria database
Functional: PBE
Structure: relaxed

Computed properties:
SG: No. 87

Lattice parameters (Å, degrees): 5.909 6.871 6.871 79.35 64.53 64.53
Positions (direct):
O 0.190 0.753 0.867
O 0.057 0.133 0.753
O 0.943 0.867 0.247
O 0.810 0.247 0.133
Cs 0.620 0.178 0.582
Cs 0.798 0.582 0.822
Cs 0.380 0.822 0.418
Cs 0.202 0.418 0.178
Si 0.000 0.000 0.000

one is preferred energetically. Next in line: 37.6 kJ/mol of atoms higher.

one:
Compound: Cs2SiO
Source: the Alexandria database
Functional: PBE
Structure: relaxed

Computed properties:
SG: No. 122

Lattice parameters (Å, degrees): 9.348 9.348 9.348 92.31 92.31 156.82
Site moments in Bohr magnetons follow the coordinates.
Positions (direct):
O 0.500 0.500 0.000  0.03
O 0.750 0.250 0.500  0.03
Cs 0.125 0.406 0.781  0.02
Cs 0.594 0.375 0.719  0.02
Cs 0.625 0.344 0.219  0.02
Cs 0.656 0.875 0.281  0.02
Si 0.000 0.000 0.000  0.07
Si 0.250 0.750 0.500  0.07

two:
Compound: Cs2SiO
Source: the Alexandria database
Functional: PBE
Structure: relaxed

Computed properties:
SG: No. 225

Lattice parameters (Å, degrees): 5.935 5.935 5.935 60.00 60.00 60.00
Site moments in Bohr magnetons follow the coordinates.
Positions (direct):
O 0.000 0.000 0.000  0.72
Si 0.500 0.500 0.500  0.62
Cs 0.250 0.250 0.250  0.06
Cs 0.750 0.750 0.750  0.06

one is preferred energetically. Next in line: 85.5 kJ/mol of atoms higher.

one:
Compound: CsSiO2
Source: the Alexandria database
Functional: PBE
Structure: relaxed

Computed properties:
SG: No. 227

Lattice parameters (Å, degrees): 5.946 5.946 5.950 60.02 60.02 90.00
Positions (direct):
O 0.875 0.625 0.750
O 0.375 0.625 0.250
O 0.375 0.125 0.250
O 0.375 0.625 0.750
Si 0.250 0.750 0.500
Si 0.500 0.500 0.000
Cs 0.000 0.000 0.000
Cs 0.750 0.250 0.500

two:
Compound: CsSiO2
Source: the Alexandria database
Functional: PBE
Structure: relaxed

Computed properties:
SG: No. 166

Lattice parameters (Å, degrees): 7.898 7.898 7.898 22.50 22.50 22.50
Positions (direct):
O 0.870 0.870 0.870
O 0.130 0.130 0.130
Si 0.500 0.500 0.500
Cs 0.000 0.000 0.000

one is preferred energetically. Next in line: 67.6 kJ/mol of atoms higher.